(1)
SbWSe2 after structural relaxation. Source: Alexandria, functional PBE-GGA.

Calculated values
ΔE_f (raw) in meV/atom: 34
Symmetry: No. 1

abc: 3.2444 5.3776 6.9183
angles: 67.29 76.54 71.80
With the nearest neighbours (Å) after each atom.
Sites, in units of the cell vectors:
Sb 0.5251 0.5217 0.5839  3 W 2.76-2.87
W 0.2534 0.0829 0.5847  4 Se 2.54-2.55, 2 Sb 2.76-2.77
Se 0.8958 0.0855 0.2920  2 W 2.54-2.55
Se 0.7381 0.8275 0.8784  2 W 2.54-2.55

---

(2)
CrNiOsRh after structural relaxation. Source: Alexandria, functional PBE-GGA.

Calculated values
Symmetry: No. 216

abc: 4.1754 4.1754 4.1754
angles: 60.00 60.00 60.00
With the nearest neighbours (Å) after each atom.
Sites, in units of the cell vectors:
Rh 0.2500 0.2500 0.2500  4 Cr 2.56, 4 Ni 2.56
Os 0.7500 0.7500 0.7500  4 Cr 2.56, 4 Ni 2.56
Cr 0.5000 0.5000 0.5000  4 Os 2.56, 4 Rh 2.56
Ni 0.0000 0.0000 0.0000  4 Rh 2.56, 4 Os 2.56

---

(3)
Ti7Ga5Si after structural relaxation. Source: Alexandria, functional PBE-GGA.

Calculated values
ΔE_f (raw) in meV/atom: -207
Symmetry: No. 44

abc: 5.1083 7.0146 7.0146
angles: 80.78 68.64 68.64
With the nearest neighbours (Å) after each atom.
Sites, in units of the cell vectors:
Ti 0.6270 0.3730 0.3730  1 Ti 2.46, 1 Si 2.75
Ti 0.3653 0.6350 0.6350  1 Ti 2.46
Ti 0.0079 0.3385 0.6455  5 Ga 2.78-2.84, 4 Ti 2.79-3.02
Ti 0.0079 0.6455 0.3385  5 Ga 2.78-2.84, 4 Ti 2.79-3.02
Ti 0.2776 0.2221 0.2221  4 Ga 2.60, 4 Ti 2.66-2.89, 2 Si 2.88
Ti 0.5100 0.8210 0.1596  1 Ti 2.66, 5 Ga 2.74-2.80
Ti 0.5100 0.1595 0.8210  1 Ti 2.66, 5 Ga 2.74-2.80
Ga 0.5042 0.9958 0.4930  3 Ga 2.54-2.62, 6 Ti 2.60-2.84
Ga 0.0072 0.9956 0.4932  3 Ga 2.54-2.62, 6 Ti 2.60-2.84
Ga 0.5042 0.4930 0.9958  3 Ga 2.54-2.62, 6 Ti 2.60-2.84
Ga 0.0072 0.4932 0.9956  3 Ga 2.54-2.62, 6 Ti 2.60-2.84
Ga 0.7522 0.7478 0.7478  4 Ga 2.62, 6 Ti 2.75-2.78
Si 0.9193 0.0801 0.0801  3 Ti 2.75-2.88, 4 Ga 3.02-3.03

---

(4)
Ce5TcN6 after structural relaxation. Source: Alexandria, functional PBE-GGA.

Calculated values
ΔE_f (raw) in meV/atom: -1218
Symmetry: No. 12

abc: 6.0125 5.9980 5.9914
angles: 59.96 80.38 70.50
With the nearest neighbours (Å) after each atom.
Sites, in units of the cell vectors:
Ce 0.5000 0.1670 0.6660  6 N 2.43-2.56
Ce 0.0000 0.3335 0.3329  6 N 2.45-2.47
Ce 0.5000 0.5000 0.0000  6 N 2.46-2.55
Ce 0.0000 0.6665 0.6671  6 N 2.45-2.47
Ce 0.5000 0.8330 0.3340  6 N 2.43-2.56
Tc 0.0000 0.0000 0.0000  6 N 2.33-2.36
N 0.7632 0.0787 0.3181  1 Tc 2.33, 5 Ce 2.45-2.56
N 0.2368 0.6032 0.3181  1 Tc 2.33, 5 Ce 2.45-2.56
N 0.2449 0.2354 0.0000  1 Tc 2.36, 5 Ce 2.43-2.55
N 0.7551 0.7646 0.0000  1 Tc 2.36, 5 Ce 2.43-2.55
N 0.7632 0.3968 0.6819  1 Tc 2.33, 5 Ce 2.45-2.56
N 0.2368 0.9213 0.6819  1 Tc 2.33, 5 Ce 2.45-2.56

---

(5)
AgSb2Ru after structural relaxation. Source: Alexandria, functional PBE-GGA.

Calculated values
ΔE_f (raw) in meV/atom: 102
Symmetry: No. 123

abc: 3.2179 3.2179 7.9739
angles: 90.00 90.00 89.99
With the nearest neighbours (Å) after each atom.
Sites, in units of the cell vectors:
Ag 0.5000 0.5000 0.2500  4 Ag 3.22, 8 Sb 3.24
Ru 0.5000 0.5000 0.7500  8 Sb 2.83
Sb 0.0000 0.0000 0.9606  4 Ru 2.83
Sb 0.0000 0.0000 0.5394  4 Ru 2.83

---

(6)
CdSb2TeP after structural relaxation. Source: Alexandria, functional PBE-GGA.

Calculated values
ΔE_f (raw) in meV/atom: 1136
Symmetry: No. 123
Polymorph energy (0 for the lowest one) in eV/f.u.: 3.159

abc: 5.4545 5.4545 5.4912
angles: 90.00 90.00 90.00
With the nearest neighbours (Å) after each atom.
Sites, in units of the cell vectors:
Sb 0.0000 0.5000 0.0000  2 Cd 2.73
Sb 0.5000 0.0000 0.0000  2 Cd 2.73
Te 0.0000 0.0000 0.5000  2 Cd 2.75
P 0.5000 0.5000 0.5000  4 Te 3.86, 8 Sb 3.87
Cd 0.0000 0.0000 0.0000  4 Sb 2.73, 2 Te 2.75

---

Record order is preserved below.
Magnetic moment: 0.0000 0.0002 0.0844 0.0000 0.0807 0.0000 μB per atom
Record order is preserved below.
Uncorrected energy: -5.98 -8.35 -6.04 -8.72 -4.99 -2.41 eV/atom